First-principles (GGA-PBEsol) data for an optimized crystal structure of LaSiNi, as listed in Alexandria via LeMat-Bulk.

a = 4.001 Å, b = 4.001 Å, c = 4.295 Å
α = 90.00°, β = 90.00°, γ = 120.00°
Fractional positions:
1 Ni 0.333 0.667 0.500
2 Si 0.667 0.333 0.500
3 La 0.000 0.000 0.000

V, Å³/atom: 19.84
DOS at the Fermi energy, states/eV/cell: 2.92
Formation energy from raw total energies, meV per atom: -719.0

***

First-principles (GGA-PBEsol) data for an optimized crystal structure of CoW2Cl10, as listed in Alexandria via LeMat-Bulk.

a = 6.043 Å, b = 8.741 Å, c = 12.133 Å
α = 86.64°, β = 80.25°, γ = 69.78°
Last column: magnetic moment on the atom in μB.
Fractional positions:
1 Cl 0.520 0.705 0.114  0.00
2 Cl 0.775 0.705 0.386  0.00
3 Cl 0.480 0.295 0.886  0.00
4 Cl 0.225 0.295 0.614  0.00
5 Cl 0.194 0.899 0.357  0.04
6 Cl 0.907 0.899 0.143  0.04
7 Cl 0.806 0.101 0.643  0.04
8 Cl 0.093 0.101 0.857  0.04
9 Cl 0.393 0.517 0.356  -0.01
10 Cl 0.090 0.517 0.144  -0.01
11 Cl 0.607 0.483 0.644  -0.01
12 Cl 0.910 0.483 0.856  -0.01
13 Cl 0.326 0.085 0.141  0.06
14 Cl 0.590 0.085 0.359  0.06
15 Cl 0.674 0.915 0.859  0.06
16 Cl 0.410 0.915 0.641  0.06
17 Cl 0.732 0.319 0.138  0.07
18 Cl 0.949 0.319 0.362  0.07
19 Cl 0.268 0.681 0.862  0.07
20 Cl 0.051 0.681 0.638  0.07
21 Co 0.056 0.887 0.750  2.31
22 Co 0.944 0.113 0.250  2.31
23 W 0.434 0.131 0.750  -0.18
24 W 0.566 0.869 0.250  -0.18
25 W 0.270 0.459 0.750  -0.04
26 W 0.730 0.541 0.250  -0.04

V, Å³/atom: 22.80
DOS at the Fermi energy, states/eV/cell: 25.47
Formation energy from raw total energies, meV per atom: -762.0

***

First-principles (GGA-PBEsol) data for an optimized crystal structure of CdInHg2, as listed in Alexandria via LeMat-Bulk.

a = 3.208 Å, b = 3.208 Å, c = 10.121 Å
α = 90.00°, β = 90.00°, γ = 115.96°
Fractional positions:
1 In 0.500 0.500 0.500
2 Hg 0.000 0.000 0.243
3 Hg 0.000 0.000 0.757
4 Cd 0.500 0.500 0.000

V, Å³/atom: 23.41
DOS at the Fermi energy, states/eV/cell: 1.32
E_form, eV per atom: 0.0120

***

First-principles (GGA-PBEsol) data for an optimized crystal structure of Ac2CuIr, as listed in Alexandria via LeMat-Bulk.

a = 5.203 Å, b = 5.203 Å, c = 5.203 Å
α = 60.00°, β = 60.00°, γ = 60.00°
Fractional positions:
1 Ac 0.750 0.750 0.750
2 Ac 0.250 0.250 0.250
3 Ir 0.000 0.000 0.000
4 Cu 0.500 0.500 0.500

V, Å³/atom: 24.89
DOS at the Fermi energy, states/eV/cell: 2.91
E_form, eV per atom: -0.2627

***

First-principles (GGA-PBEsol) data for an optimized crystal structure of In2Ge2O7, as listed in Alexandria via LeMat-Bulk.

a = 4.958 Å, b = 5.548 Å, c = 5.548 Å
α = 106.29°, β = 97.27°, γ = 97.27°
Fractional positions:
1 In 0.000 0.693 0.307
2 In 0.000 0.307 0.693
3 Ge 0.405 0.236 0.236
4 Ge 0.595 0.764 0.764
5 O 0.789 0.593 0.926
6 O 0.211 0.074 0.407
7 O 0.211 0.407 0.074
8 O 0.789 0.926 0.593
9 O 0.500 0.000 0.000
10 O 0.274 0.587 0.587
11 O 0.726 0.413 0.413

V, Å³/atom: 13.01
DOS at the Fermi energy, states/eV/cell: 0.00
Formation energy from raw total energies, meV per atom: -1653.5
Excess energy over the best structure of this formula in the dataset, meV/atom: 27

***

First-principles (GGA-PBEsol) data for an optimized crystal structure of Cd2SbI, as listed in Alexandria via LeMat-Bulk.

a = 6.550 Å, b = 6.550 Å, c = 8.232 Å
α = 113.44°, β = 113.44°, γ = 90.00°
Fractional positions:
1 I 0.250 0.750 0.500
2 I 0.000 0.000 0.000
3 Sb 0.750 0.250 0.500
4 Sb 0.500 0.500 0.000
5 Cd 0.419 0.875 0.250
6 Cd 0.831 0.375 0.250
7 Cd 0.125 0.169 0.750
8 Cd 0.625 0.581 0.750

V, Å³/atom: 36.50
Formation energy from raw total energies, meV per atom: -172.1

***

First-principles (GGA-PBEsol) data for an optimized crystal structure of KZrSb2, as listed in Alexandria via LeMat-Bulk.

a = 3.888 Å, b = 3.888 Å, c = 9.249 Å
α = 77.87°, β = 77.87°, γ = 60.00°
Fractional positions:
1 K 0.000 0.000 0.000
2 Sb 0.236 0.236 0.293
3 Sb 0.764 0.764 0.707
4 Zr 0.500 0.500 0.500

V, Å³/atom: 29.36
DOS at the Fermi energy, states/eV/cell: 1.72
Formation energy from raw total energies, meV per atom: -455.3
Excess energy over the best structure of this formula in the dataset, meV/atom: 76

***

First-principles (GGA-PBEsol) data for an optimized crystal structure of K3ErCl6, as listed in Alexandria via LeMat-Bulk.

a = 7.739 Å, b = 7.739 Å, c = 7.739 Å
α = 60.00°, β = 60.00°, γ = 60.00°
Fractional positions:
1 K 0.000 0.000 0.000
2 K 0.250 0.250 0.250
3 K 0.750 0.750 0.750
4 Cl 0.265 0.735 0.735
5 Cl 0.735 0.265 0.735
6 Cl 0.735 0.735 0.265
7 Cl 0.265 0.735 0.265
8 Cl 0.265 0.265 0.735
9 Cl 0.735 0.265 0.265
10 Er 0.500 0.500 0.500

V, Å³/atom: 32.78
DOS at the Fermi energy, states/eV/cell: 0.00
Formation energy from raw total energies, meV per atom: -2043.1

***

First-principles (GGA-PBEsol) data for an optimized crystal structure of ReNi2Pt, as listed in Alexandria via LeMat-Bulk.

a = 2.645 Å, b = 4.444 Å, c = 4.549 Å
α = 99.89°, β = 106.87°, γ = 90.02°
Fractional positions:
1 Re 0.747 0.241 0.495
2 Pt 0.500 0.500 0.001
3 Ni 0.999 0.999 0.998
4 Ni 0.253 0.760 0.506

V, Å³/atom: 12.58
DOS at the Fermi energy, states/eV/cell: 3.54
Excess energy over the best structure of this formula in the dataset, meV/atom: 16
E_form, eV per atom: -0.0578

***

First-principles (GGA-PBEsol) data for an optimized crystal structure of Co2RhCl, as listed in Alexandria via LeMat-Bulk.

a = 2.721 Å, b = 4.336 Å, c = 4.336 Å
α = 90.00°, β = 90.00°, γ = 90.00°
Last column: magnetic moment on the atom in μB.
Fractional positions:
1 Co 0.000 0.000 0.500  1.76
2 Co 0.000 0.500 0.000  1.76
3 Rh 0.500 0.500 0.500  0.69
4 Cl 0.500 0.000 0.000  0.14

V, Å³/atom: 12.79
DOS at the Fermi energy, states/eV/cell: 5.99
Formation energy from raw total energies, meV per atom: 604.8

***

First-principles (GGA-PBEsol) data for an optimized crystal structure of V3FeS6, as listed in Alexandria via LeMat-Bulk.

a = 5.480 Å, b = 5.480 Å, c = 6.279 Å
α = 64.13°, β = 64.13°, γ = 60.00°
Fractional positions:
1 V 0.669 0.669 0.994
2 V 0.331 0.331 0.006
3 V 0.000 0.000 0.000
4 Fe 0.500 0.500 0.500
5 S 0.422 0.760 0.732
6 S 0.087 0.422 0.732
7 S 0.760 0.087 0.732
8 S 0.578 0.240 0.268
9 S 0.913 0.578 0.268
10 S 0.240 0.913 0.268

V, Å³/atom: 14.11
DOS at the Fermi energy, states/eV/cell: 5.54
Formation energy from raw total energies, meV per atom: -949.7

***

First-principles (GGA-PBEsol) data for an optimized crystal structure of LiCo2Cu, as listed in Alexandria via LeMat-Bulk.

a = 2.409 Å, b = 4.232 Å, c = 4.463 Å
α = 97.04°, β = 90.00°, γ = 106.54°
Last column: magnetic moment on the atom in μB.
Fractional positions:
1 Co 0.993 0.986 0.970  1.47
2 Co 0.249 0.499 0.779  1.47
3 Cu 0.506 0.012 0.483  0.03
4 Li 0.752 0.504 0.267  -0.02

V, Å³/atom: 10.81
DOS at the Fermi energy, states/eV/cell: 2.73
E_form, eV per atom: 0.1573

***

First-principles (GGA-PBEsol) data for an optimized crystal structure of AlAg5, as listed in Alexandria via LeMat-Bulk.

a = 2.880 Å, b = 5.416 Å, c = 6.756 Å
α = 105.28°, β = 90.00°, γ = 105.42°
Fractional positions:
1 Al 0.721 0.443 0.941
2 Ag 0.008 0.017 0.002
3 Ag 0.669 0.339 0.337
4 Ag 0.330 0.661 0.678
5 Ag 0.385 0.769 0.265
6 Ag 0.053 0.105 0.610

V, Å³/atom: 16.29
DOS at the Fermi energy, states/eV/cell: 1.64
Excess energy over the best structure of this formula in the dataset, meV/atom: 13
E_form, eV per atom: -0.0580

***

First-principles (GGA-PBEsol) data for an optimized crystal structure of LaTeMo2, as listed in Alexandria via LeMat-Bulk.

a = 4.149 Å, b = 4.149 Å, c = 5.725 Å
α = 111.25°, β = 111.25°, γ = 90.00°
Fractional positions:
1 La 0.000 0.000 0.000
2 Mo 0.750 0.250 0.500
3 Mo 0.250 0.750 0.500
4 Te 0.500 0.500 0.000

V, Å³/atom: 21.15
DOS at the Fermi energy, states/eV/cell: 5.01
Formation energy from raw total energies, meV per atom: 551.9

***

First-principles (GGA-PBEsol) data for an optimized crystal structure of Sm4MgRu, as listed in Alexandria via LeMat-Bulk.

a = 9.711 Å, b = 9.711 Å, c = 9.711 Å
α = 60.00°, β = 60.00°, γ = 60.00°
Fractional positions:
1 Sm 0.438 0.062 0.062
2 Sm 0.062 0.438 0.438
3 Sm 0.438 0.438 0.062
4 Sm 0.062 0.062 0.438
5 Sm 0.062 0.438 0.062
6 Sm 0.438 0.062 0.438
7 Sm 0.812 0.188 0.188
8 Sm 0.188 0.812 0.812
9 Sm 0.812 0.812 0.188
10 Sm 0.188 0.188 0.812
11 Sm 0.188 0.812 0.188
12 Sm 0.812 0.188 0.812
13 Sm 0.656 0.656 0.032
14 Sm 0.032 0.656 0.656
15 Sm 0.656 0.656 0.656
16 Sm 0.656 0.032 0.656
17 Mg 0.421 0.421 0.737
18 Mg 0.737 0.421 0.421
19 Mg 0.421 0.421 0.421
20 Mg 0.421 0.737 0.421
21 Ru 0.862 0.862 0.415
22 Ru 0.415 0.862 0.862
23 Ru 0.862 0.862 0.862
24 Ru 0.862 0.415 0.862

V, Å³/atom: 26.98
DOS at the Fermi energy, states/eV/cell: 26.35
E_form, eV per atom: -0.1763

***

First-principles (GGA-PBEsol) data for an optimized crystal structure of ScHg2Mo, as listed in Alexandria via LeMat-Bulk.

a = 2.997 Å, b = 5.161 Å, c = 5.202 Å
α = 99.65°, β = 90.00°, γ = 106.88°
Fractional positions:
1 Hg 0.747 0.494 0.741
2 Hg 0.253 0.506 0.259
3 Mo 0.000 0.000 0.500
4 Sc 0.500 0.000 0.000

V, Å³/atom: 18.95
DOS at the Fermi energy, states/eV/cell: 3.79
E_form, eV per atom: 0.1638

***

First-principles (GGA-PBEsol) data for an optimized crystal structure of Sr3Hg, as listed in Alexandria via LeMat-Bulk.

a = 5.350 Å, b = 5.350 Å, c = 5.350 Å
α = 90.00°, β = 90.00°, γ = 90.00°
Fractional positions:
1 Hg 0.000 0.000 0.000
2 Sr 0.000 0.500 0.500
3 Sr 0.500 0.000 0.500
4 Sr 0.500 0.500 0.000

V, Å³/atom: 38.28
DOS at the Fermi energy, states/eV/cell: 6.71
Excess energy over the best structure of this formula in the dataset, meV/atom: 178
E_form, eV per atom: -0.1221

***

First-principles (GGA-PBEsol) data for an optimized crystal structure of CuAg2SnBr, as listed in Alexandria via LeMat-Bulk.

a = 5.127 Å, b = 5.127 Å, c = 5.616 Å
α = 90.00°, β = 90.00°, γ = 90.00°
Fractional positions:
1 Br 0.000 0.000 0.500
2 Sn 0.000 0.000 0.000
3 Ag 0.000 0.500 0.000
4 Ag 0.500 0.000 0.000
5 Cu 0.500 0.500 0.500

V, Å³/atom: 29.53
DOS at the Fermi energy, states/eV/cell: 2.60
Formation energy from raw total energies, meV per atom: 853.6

***

First-principles (GGA-PBEsol) data for an optimized crystal structure of KLiSe2, as listed in Alexandria via LeMat-Bulk.

a = 3.423 Å, b = 3.423 Å, c = 8.897 Å
α = 78.91°, β = 78.91°, γ = 60.00°
Fractional positions:
1 K 0.500 0.500 0.500
2 Se 0.263 0.263 0.210
3 Se 0.737 0.737 0.790
4 Li 0.000 0.000 0.000

V, Å³/atom: 22.01
DOS at the Fermi energy, states/eV/cell: 2.46
Formation energy from raw total energies, meV per atom: -581.4

***

First-principles (GGA-PBEsol) data for an optimized crystal structure of MgMn2Co, as listed in Alexandria via LeMat-Bulk.

a = 4.119 Å, b = 4.119 Å, c = 4.119 Å
α = 60.00°, β = 60.00°, γ = 60.00°
Last column: magnetic moment on the atom in μB.
Fractional positions:
1 Co 0.500 0.500 0.500  0.81
2 Mg 0.250 0.250 0.250  -0.02
3 Mn 0.000 0.000 0.000  -2.46
4 Mn 0.750 0.750 0.750  2.76

V, Å³/atom: 12.35
DOS at the Fermi energy, states/eV/cell: 4.77
E_form, eV per atom: 0.2749

***

First-principles (GGA-PBEsol) data for an optimized crystal structure of BaBeI2O, as listed in Alexandria via LeMat-Bulk.

a = 4.404 Å, b = 6.625 Å, c = 6.625 Å
α = 90.00°, β = 90.00°, γ = 90.00°
Last column: magnetic moment on the atom in μB.
Fractional positions:
1 I 0.000 0.000 0.500  0.06
2 I 0.000 0.500 0.000  0.06
3 Be 0.500 0.500 0.500  0.23
4 Ba 0.000 0.000 0.000  0.00
5 O 0.500 0.000 0.000  0.00

V, Å³/atom: 38.66
DOS at the Fermi energy, states/eV/cell: 3.65
Formation energy from raw total energies, meV per atom: 4.9

***

First-principles (GGA-PBEsol) data for an optimized crystal structure of MnReAg2, as listed in Alexandria via LeMat-Bulk.

a = 2.815 Å, b = 2.815 Å, c = 7.491 Å
α = 90.00°, β = 90.00°, γ = 90.00°
Fractional positions:
1 Ag 0.000 0.000 0.995
2 Ag 0.500 0.500 0.268
3 Mn 0.000 0.000 0.531
4 Re 0.500 0.500 0.706

V, Å³/atom: 14.84
DOS at the Fermi energy, states/eV/cell: 2.44
E_form, eV per atom: 0.3423

***

First-principles (GGA-PBEsol) data for an optimized crystal structure of LiPt2W, as listed in Alexandria via LeMat-Bulk.

a = 2.709 Å, b = 4.704 Å, c = 4.704 Å
α = 106.24°, β = 90.00°, γ = 90.00°
Fractional positions:
1 Pt 0.000 0.500 0.000
2 Pt 0.000 0.000 0.500
3 W 0.500 0.000 0.000
4 Li 0.500 0.500 0.500

V, Å³/atom: 14.39
DOS at the Fermi energy, states/eV/cell: 2.34
E_form, eV per atom: -0.3242

***

First-principles (GGA-PBEsol) data for an optimized crystal structure of Be2SiPH, as listed in Alexandria via LeMat-Bulk.

a = 3.541 Å, b = 3.678 Å, c = 3.678 Å
α = 90.00°, β = 90.00°, γ = 90.00°
Fractional positions:
1 P 0.500 0.500 0.500
2 Si 0.500 0.000 0.000
3 Be 0.000 0.000 0.500
4 Be 0.000 0.500 0.000
5 H 0.000 0.000 0.000

V, Å³/atom: 9.58
DOS at the Fermi energy, states/eV/cell: 1.57
Raw total energy, eV per atom: -4.030